# SrVRhO5 | Alexandria via LeMat-Bulk | GGA+U | optimized geometry
data_SrVRhO5
_symmetry_space_group_name_H-M 'C 1 2/c 1'
_symmetry_Int_Tables_number 15
_symmetry_space_group_name_Hall '-C 2yc'
_cell_length_a 6.932
_cell_length_b 9.412
_cell_length_c 7.322
_cell_angle_alpha 90.00
_cell_angle_beta 113.72
_cell_angle_gamma 90.00
loop_
_atom_site_label
_atom_site_type_symbol
_atom_site_fract_x
_atom_site_fract_y
_atom_site_fract_z
Sr1 Sr 0.000 0.168 0.250
V1 V 0.000 0.185 0.750
Rh1 Rh 0.000 0.500 0.000
O1 O 0.000 0.424 0.250
O2 O 0.103 0.294 0.613
O3 O 0.188 0.070 0.918
# Calculated volume = 109.3 Å³/f.u.
# Calculated total energy = -223.7 eV for the cell shown